Entry 1:
The following is a GGA-PBE calculation of a geometry-optimized Ti2VRhBr structure, from Alexandria via LeMat-Bulk.

Computed properties:
- Symmetry: No. 123
- Energy: -31.25 eV for the cell shown
- D(E_F): 1.35 states/eV/atom

extended XYZ file:
```
5
Lattice="4.8040 0.0000 0.0000 0.0000 4.8040 0.0000 0.0000 0.0000 4.7992" Properties=species:S:1:pos:R:3 pbc="T T T"
Ti 0.0000 2.4020 0.0000
Ti 2.4020 0.0000 0.0000
V 0.0000 0.0000 2.3996
Rh 0.0000 0.0000 0.0000
Br 2.4020 2.4020 2.3996
```

***

Entry 2:
The following is a GGA-PBE calculation of a geometry-optimized Ti2ZnRhBr structure, from Alexandria via LeMat-Bulk.

Computed properties:
- Symmetry: No. 123
- Energy: -25.18 eV for the cell shown
- D(E_F): 0.90 states/eV/atom

extended XYZ file:
```
5
Lattice="4.7429 0.0000 0.0000 0.0000 4.7429 0.0000 0.0000 0.0000 4.8780" Properties=species:S:1:pos:R:3 pbc="T T T"
Ti 0.0000 2.3715 0.0000
Ti 2.3715 0.0000 0.0000
Zn 0.0000 0.0000 2.4390
Rh 0.0000 0.0000 0.0000
Br 2.3715 2.3715 2.4390
```

***

Entry 3:
The following is a GGA-PBE calculation of a geometry-optimized Tl2RhBr6 structure, from Alexandria via LeMat-Bulk.

Computed properties:
- Energy above the most stable polymorph in this dataset: 33 kJ/mol of formula units
- Symmetry: No. 136
- Energy: -53.28 eV for the cell shown
- D(E_F): 0.81 states/eV/atom

extended XYZ file:
```
18
Lattice="7.0244 0.0000 0.0000 0.0000 7.0244 0.0000 0.0000 0.0000 12.6743" Properties=species:S:1:pos:R:3 pbc="T T T"
Tl 0.0000 0.0000 1.9983
Tl 0.0000 0.0000 10.6760
Tl 3.5122 3.5122 4.3389
Tl 3.5122 3.5122 8.3354
Rh 0.0000 0.0000 6.3372
Rh 3.5122 3.5122 0.0000
Br 1.2424 1.2424 4.5348
Br 1.2424 1.2424 8.1395
Br 1.7361 1.7361 0.0000
Br 1.7761 5.2483 6.3372
Br 2.2698 4.7546 1.8024
Br 2.2698 4.7546 10.8719
Br 4.7546 2.2698 1.8024
Br 4.7546 2.2698 10.8719
Br 5.2483 1.7761 6.3372
Br 5.2883 5.2883 0.0000
Br 5.7820 5.7820 4.5348
Br 5.7820 5.7820 8.1395
```

***

Entry 4:
The following is a GGA-PBE calculation of a geometry-optimized Tl2RhBr4 structure, from Alexandria via LeMat-Bulk.

Computed properties:
- Symmetry: No. 139
- Energy: -45.34 eV for the cell shown
- D(E_F): 0.24 states/eV/atom

extended XYZ file:
```
14
Lattice="5.1959 0.0000 0.0000 0.0000 5.1959 0.0000 0.0000 0.0000 16.3026" Properties=species:S:1:pos:R:3 pbc="T T T"
Tl 0.0000 0.0000 2.2498
Tl 0.0000 0.0000 14.0528
Tl 2.5979 2.5979 5.9015
Tl 2.5979 2.5979 10.4010
Rh 0.0000 0.0000 8.1513
Rh 2.5979 2.5979 0.0000
Br 0.0000 0.0000 5.6189
Br 0.0000 0.0000 10.6837
Br 0.0000 2.5979 0.0000
Br 0.0000 2.5979 8.1513
Br 2.5979 0.0000 0.0000
Br 2.5979 0.0000 8.1513
Br 2.5979 2.5979 2.5324
Br 2.5979 2.5979 13.7701
```

***

Entry 5:
The following is a GGA-PBE calculation of a geometry-optimized Tl3RhBr6 structure, from Alexandria via LeMat-Bulk.

Computed properties:
- Energy above the most stable polymorph in this dataset: 0 kJ/mol of formula units
- Symmetry: No. 14
- Energy: -62.15 eV for the cell shown

extended XYZ file:
```
20
Lattice="7.3943 0.0000 0.0000 0.0000 8.2548 0.0000 -7.0169 0.0000 10.9545" Properties=species:S:1:pos:R:3 pbc="T T T"
Tl 0.0000 0.0000 0.0000
Tl -3.5085 4.1274 5.4772
Tl -3.6587 0.6191 8.1781
Tl -0.1502 3.5083 2.7008
Tl 0.5277 4.7465 8.2537
Tl 4.0361 7.6357 2.7764
Rh 0.1887 0.0000 5.4772
Rh 3.6972 4.1274 0.0000
Br -1.9285 1.3132 5.0907
Br -5.4369 2.8142 10.5680
Br -0.9928 6.1168 4.8059
Br -4.5012 6.2654 10.2831
Br 0.8882 0.3739 3.0866
Br -2.6202 3.7535 8.5639
Br 2.9977 4.5013 2.3906
Br -0.5108 7.8809 7.8679
Br 4.8787 1.9894 0.6714
Br 1.3702 2.1380 6.1486
Br 5.8144 5.4406 0.3865
Br 2.3059 6.9416 5.8638
```

***

Entry 6:
The following is a GGA-PBE calculation of a geometry-optimized Tl3RhBr6 structure, from Alexandria via LeMat-Bulk.

Computed properties:
- Energy above the most stable polymorph in this dataset: 43 kJ/mol of formula units
- Symmetry: No. 69
- Energy: -30.63 eV for the cell shown

extended XYZ file:
```
10
Lattice="0.0000 5.7289 6.6531 4.7055 0.0000 6.6531 4.7055 5.7289 0.0000" Properties=species:S:1:pos:R:3 pbc="T T T"
Tl 0.0000 0.0000 0.0000
Tl 2.3527 2.8644 3.3266
Tl 7.0582 8.5933 9.9797
Rh 4.7055 5.7289 6.6531
Br 6.4797 5.7289 4.8925
Br 4.7055 3.1842 6.6531
Br 6.4797 5.7289 8.4137
Br 2.9312 5.7289 4.8925
Br 4.7055 8.2736 6.6531
Br 2.9312 5.7289 8.4137
```

***

Entry 7:
The following is a GGA-PBE calculation of a geometry-optimized Tl4RhBr6 structure, from Alexandria via LeMat-Bulk.

Computed properties:
- Symmetry: No. 128
- Energy: -67.99 eV for the cell shown
- D(E_F): 0.34 states/eV/atom

extended XYZ file:
```
22
Lattice="8.7908 0.0000 0.0000 0.0000 8.7908 0.0000 0.0000 0.0000 9.3616" Properties=species:S:1:pos:R:3 pbc="T T T"
Tl 1.3297 3.0657 2.3404
Tl 1.3297 3.0657 7.0212
Tl 3.0657 7.4611 2.3404
Tl 3.0657 7.4611 7.0212
Tl 5.7250 1.3297 2.3404
Tl 5.7250 1.3297 7.0212
Tl 7.4611 5.7250 2.3404
Tl 7.4611 5.7250 7.0212
Rh 0.0000 0.0000 0.0000
Rh 4.3954 4.3954 4.6808
Br 0.0000 0.0000 2.5115
Br 0.0000 0.0000 6.8501
Br 1.1316 6.3129 0.0000
Br 1.9175 5.5270 4.6808
Br 2.4779 1.1316 0.0000
Br 3.2638 1.9175 4.6808
Br 4.3954 4.3954 2.1693
Br 4.3954 4.3954 7.1923
Br 5.5270 6.8733 4.6808
Br 6.3129 7.6592 0.0000
Br 6.8733 3.2638 4.6808
Br 7.6592 2.4779 0.0000
```

***

Entry 8:
The following is a GGA-PBE calculation of a geometry-optimized Tl2RhBr2 structure, from Alexandria via LeMat-Bulk.

Computed properties:
- Energy above the most stable polymorph in this dataset: 0 kJ/mol of formula units
- Symmetry: No. 127
- Energy: -31.93 eV for the cell shown
- D(E_F): 0.48 states/eV/atom

extended XYZ file:
```
10
Lattice="6.9745 0.0000 0.0000 0.0000 6.9745 0.0000 0.0000 0.0000 5.6561" Properties=species:S:1:pos:R:3 pbc="T T T"
Tl 1.2462 2.2411 0.0000
Tl 2.2411 5.7283 0.0000
Tl 4.7335 1.2462 0.0000
Tl 5.7283 4.7335 0.0000
Rh 0.0000 0.0000 2.8280
Rh 3.4873 3.4873 2.8280
Br 1.2209 4.7082 2.8280
Br 2.2663 1.2209 2.8280
Br 4.7082 5.7536 2.8280
Br 5.7536 2.2663 2.8280
```

***

- Which of these has the lowest energy?
  Tl4RhBr6

***

- energy of number 3 (Tl2RhBr6)?
  -53.28 eV for the cell shown

***

- The highest energy belongs to which entry?
  Ti2ZnRhBr

***

Copy entry 2 word for word.
The following is a GGA-PBE calculation of a geometry-optimized Ti2ZnRhBr structure, from Alexandria via LeMat-Bulk.

Computed properties:
- Symmetry: No. 123
- Energy: -25.18 eV for the cell shown
- D(E_F): 0.90 states/eV/atom

extended XYZ file:
```
5
Lattice="4.7429 0.0000 0.0000 0.0000 4.7429 0.0000 0.0000 0.0000 4.8780" Properties=species:S:1:pos:R:3 pbc="T T T"
Ti 0.0000 2.3715 0.0000
Ti 2.3715 0.0000 0.0000
Zn 0.0000 0.0000 2.4390
Rh 0.0000 0.0000 0.0000
Br 2.3715 2.3715 2.4390
```